Record 1
The following is a PBE calculation of a relaxed FeTcRu2 crystal, from Alexandria via LeMat-Bulk.

Geometry as POSCAR:
```
FeTcRu2
1.0
4.625 0.000 0.000
0.000 2.687 0.000
-1.574 0.000 4.365
Fe Tc Ru
1 1 2
direct
0.000 0.000 0.000 Fe
0.000 0.500 0.500 Tc
0.500 0.000 0.500 Ru
0.500 0.500 0.000 Ru
```

Relative energy among the computed polymorphs, meV per atom: 29
ΔH_f (0 K), meV per atom: 124
Energy, eV/cell: -36.89
M_tot, μB per formula unit: 1.6

---

Record 2
The following is a PBE calculation of a relaxed Eu2TmPd crystal, from Alexandria via LeMat-Bulk.

Geometry as POSCAR:
```
Eu2TmPd
1.0
1.924 1.111 9.896
-1.924 1.111 9.896
0.000 -2.221 9.896
Eu Tm Pd
2 1 1
direct
0.231 0.231 0.231 Eu
0.769 0.769 0.769 Eu
0.000 0.000 0.000 Tm
0.500 0.500 0.500 Pd
```

Relative energy among the computed polymorphs, meV per atom: 87
ΔH_f (0 K), meV per atom: -163
Energy, eV/cell: -30.87
M_tot, μB per formula unit: 15.0

---

Record 3
The following is a PBE calculation of a relaxed MgZrTiV crystal, from Alexandria via LeMat-Bulk.

Geometry as POSCAR:
```
MgZrTiV
1.0
0.000 3.346 3.346
3.346 0.000 3.346
3.346 3.346 0.000
Mg Zr Ti V
1 1 1 1
direct
0.000 0.000 0.000 Mg
0.250 0.250 0.250 Zr
0.750 0.750 0.750 Ti
0.500 0.500 0.500 V
```

ΔH_f (0 K), meV per atom: 208
Energy, eV/cell: -26.33
M_tot, μB per formula unit: 2.1

---

Record 4
The following is a PBE calculation of a relaxed ZnTeS2 crystal, from Alexandria via LeMat-Bulk.

Geometry as POSCAR:
```
ZnTeS2
1.0
1.836 1.060 7.740
-1.836 1.060 7.740
0.000 -2.120 7.740
Zn Te S
1 1 2
direct
0.000 0.000 0.000 Zn
0.500 0.500 0.500 Te
0.390 0.390 0.390 S
0.610 0.610 0.610 S
```

Relative energy among the computed polymorphs, meV per atom: 0
E_form (uncorrected), eV/atom: -0.149
Energy, eV/cell: -13.27
M_tot, μB per formula unit: 0.0

---

Record 5
The following is a PBE calculation of a relaxed Ba3HfAl2O8 crystal, from Alexandria via LeMat-Bulk.

Geometry as POSCAR:
```
Ba3HfAl2O8
1.0
5.800 0.000 0.000
-2.900 5.023 0.000
0.000 0.000 7.496
Ba Hf Al O
3 1 2 8
direct
0.000 0.000 0.000 Ba
0.333 0.667 0.681 Ba
0.667 0.333 0.319 Ba
0.000 0.000 0.500 Hf
0.333 0.667 0.237 Al
0.667 0.333 0.763 Al
0.169 0.337 0.334 O
0.169 0.831 0.334 O
0.333 0.667 0.008 O
0.337 0.169 0.666 O
0.663 0.831 0.334 O
0.667 0.333 0.992 O
0.831 0.169 0.666 O
0.831 0.663 0.666 O
```

E_form (uncorrected), eV/atom: -3.040
Energy, eV/cell: -105.44
M_tot, μB per formula unit: 0.0

---

Record 6
The following is a PBE calculation of a relaxed TbNd2SmDy5 crystal, from Alexandria via LeMat-Bulk.

Geometry as POSCAR:
```
TbNd2SmDy5
1.0
-4.344 4.344 7.829
4.344 -4.344 7.829
4.344 4.344 -7.829
Tb Nd Sm Dy
2 4 2 10
direct
0.250 0.750 0.500 Tb
0.750 0.250 0.500 Tb
0.118 0.618 0.735 Nd
0.382 0.118 0.500 Nd
0.618 0.882 0.500 Nd
0.882 0.382 0.265 Nd
0.250 0.250 0.000 Sm
0.750 0.750 0.000 Sm
0.000 0.000 0.000 Dy
0.072 0.150 0.500 Dy
0.150 0.650 0.079 Dy
0.350 0.428 0.500 Dy
0.428 0.928 0.079 Dy
0.500 0.500 0.000 Dy
0.572 0.072 0.921 Dy
0.650 0.572 0.500 Dy
0.850 0.350 0.921 Dy
0.928 0.850 0.500 Dy
```

ΔH_f (0 K), meV per atom: 265
Energy, eV/cell: -79.03
M_tot, μB per formula unit: 0.0

---

Record 7
The following is a PBE calculation of a relaxed K2GaSbSe5 crystal, from Alexandria via LeMat-Bulk.

Geometry as POSCAR:
```
K2GaSbSe5
1.0
1.878 -10.345 0.000
1.878 10.345 0.000
0.000 0.000 14.242
K Ga Sb Se
4 2 2 10
direct
0.095 0.905 0.500 K
0.124 0.876 0.130 K
0.876 0.124 0.630 K
0.905 0.095 0.000 K
0.429 0.571 0.296 Ga
0.571 0.429 0.796 Ga
0.233 0.767 0.874 Sb
0.767 0.233 0.374 Sb
0.058 0.942 0.901 Se
0.260 0.740 0.512 Se
0.312 0.688 0.243 Se
0.351 0.649 0.821 Se
0.488 0.512 0.152 Se
0.512 0.488 0.652 Se
0.649 0.351 0.321 Se
0.688 0.312 0.743 Se
0.740 0.260 0.012 Se
0.942 0.058 0.401 Se
```

E_form (uncorrected), eV/atom: -0.641
Energy, eV/cell: -65.07
M_tot, μB per formula unit: 0.2

---

Record 8
The following is a PBE calculation of a relaxed Ba3YPd crystal, from Alexandria via LeMat-Bulk.

Geometry as POSCAR:
```
Ba3YPd
1.0
6.241 0.000 0.000
0.000 6.241 0.000
0.000 0.000 6.241
Ba Y Pd
3 1 1
direct
0.000 0.000 0.500 Ba
0.000 0.500 0.000 Ba
0.500 0.000 0.000 Ba
0.500 0.500 0.500 Y
0.000 0.000 0.000 Pd
```

Relative energy among the computed polymorphs, meV per atom: 0
ΔH_f (0 K), meV per atom: 30
Energy, eV/cell: -17.27
M_tot, μB per formula unit: 0.0

---

Record 9
The following is a PBE calculation of a relaxed La2AlCuC crystal, from Alexandria via LeMat-Bulk.

Geometry as POSCAR:
```
La2AlCuC
1.0
5.386 0.000 0.000
0.000 5.386 0.000
0.000 0.000 3.808
La Al Cu C
2 1 1 1
direct
0.000 0.500 0.000 La
0.500 0.000 0.000 La
0.000 0.000 0.500 Al
0.500 0.500 0.500 Cu
0.500 0.500 0.000 C
```

Relative energy among the computed polymorphs, meV per atom: 15
ΔH_f (0 K), meV per atom: -80
Energy, eV/cell: -27.32
M_tot, μB per formula unit: 0.0

---

Record 10
The following is a PBE calculation of a relaxed ErZr2Mn crystal, from Alexandria via LeMat-Bulk.

Geometry as POSCAR:
```
ErZr2Mn
1.0
1.614 0.932 10.054
-1.614 0.932 10.054
0.000 -1.864 10.054
Er Zr Mn
1 2 1
direct
0.000 0.000 0.000 Er
0.105 0.105 0.105 Zr
0.895 0.895 0.895 Zr
0.500 0.500 0.500 Mn
```

Relative energy among the computed polymorphs, meV per atom: 268
ΔH_f (0 K), meV per atom: 360
Energy, eV/cell: -29.39
M_tot, μB per formula unit: 0.5

---

Record 11
The following is a PBE calculation of a relaxed TbCeNi4 crystal, from Alexandria via LeMat-Bulk.

Geometry as POSCAR:
```
TbCeNi4
1.0
0.000 3.595 3.595
3.595 0.000 3.595
3.595 3.595 0.000
Tb Ce Ni
1 1 4
direct
0.000 0.000 0.000 Tb
0.750 0.750 0.750 Ce
0.375 0.375 0.375 Ni
0.375 0.375 0.875 Ni
0.375 0.875 0.375 Ni
0.875 0.375 0.375 Ni
```

ΔH_f (0 K), meV per atom: -393
Energy, eV/cell: -36.05
M_tot, μB per formula unit: 0.3

---

Record 12
The following is a PBE calculation of a relaxed VPtCl2 crystal, from Alexandria via LeMat-Bulk.

Geometry as POSCAR:
```
VPtCl2
1.0
1.515 0.875 8.285
-1.515 0.875 8.285
0.000 -1.749 8.285
V Pt Cl
1 1 2
direct
0.000 0.000 0.000 V
0.500 0.500 0.500 Pt
0.398 0.398 0.398 Cl
0.602 0.602 0.602 Cl
```

Relative energy among the computed polymorphs, meV per atom: 0
E_form (uncorrected), eV/atom: -0.226
Energy, eV/cell: -19.75
M_tot, μB per formula unit: 0.1

---

Record 13
The following is a PBE calculation of a relaxed Ac6Ag2C crystal, from Alexandria via LeMat-Bulk.

Geometry as POSCAR:
```
Ac6Ag2C
1.0
7.187 0.000 0.000
0.000 7.946 0.000
-7.053 0.000 11.018
Ac Ag C
12 4 2
direct
0.112 0.025 0.236 Ac
0.112 0.475 0.736 Ac
0.217 0.699 0.052 Ac
0.217 0.801 0.552 Ac
0.368 0.177 0.055 Ac
0.368 0.323 0.555 Ac
0.632 0.677 0.445 Ac
0.632 0.823 0.945 Ac
0.783 0.199 0.448 Ac
0.783 0.301 0.948 Ac
0.888 0.525 0.264 Ac
0.888 0.975 0.764 Ac
0.310 0.100 0.749 Ag
0.310 0.400 0.249 Ag
0.690 0.600 0.751 Ag
0.690 0.900 0.251 Ag
0.000 0.000 0.000 C
0.000 0.500 0.500 C
```

ΔH_f (0 K), meV per atom: -81
Energy, eV/cell: -80.62
M_tot, μB per formula unit: 0.0

---

Record 14
The following is a PBE calculation of a relaxed Tc3SnAs crystal, from Alexandria via LeMat-Bulk.

Geometry as POSCAR:
```
Tc3SnAs
1.0
4.564 0.000 0.000
0.000 4.564 0.000
0.000 0.000 4.564
Tc Sn As
3 1 1
direct
0.000 0.000 0.500 Tc
0.000 0.500 0.000 Tc
0.500 0.000 0.000 Tc
0.500 0.500 0.500 Sn
0.000 0.000 0.000 As
```

ΔH_f (0 K), meV per atom: 846
Energy, eV/cell: -35.52
M_tot, μB per formula unit: 1.7